Entry 1:
Ba2HoCo2O6: relaxed, PBE with a Hubbard U.

spin magnetization	7.00	μB/f.u.
final energy	-6.507	eV/atom
space-group type	No. 166

Cell lengths 6.076, 6.076, 6.653 Å; angles 62.83, 62.83, 60.00 degrees
Each line ends with the local moment (μB).
Positions (direct):
Co1 0.436 0.436 0.692  2.70
Co2 0.564 0.564 0.308  2.70
O1 0.759 0.248 0.745  0.21
O2 0.752 0.752 0.255  0.21
O3 0.248 0.759 0.745  0.21
O4 0.241 0.752 0.255  0.21
O5 0.248 0.248 0.745  0.21
O6 0.752 0.241 0.255  0.21
Ba1 0.781 0.781 0.658  0.00
Ba2 0.219 0.219 0.342  0.00
Ho1 0.000 0.000 0.000  0.12

***

Entry 2:
Ba3HoCo2O6: relaxed, PBE with a Hubbard U.

spin magnetization	5.00	μB/f.u.
final energy	-6.262	eV/atom
space-group type	No. 164

Cell lengths 6.169, 6.169, 6.953 Å; angles 90.00, 90.00, 120.00 degrees
Each line ends with the local moment (μB).
Positions (direct):
Ho1 0.000 0.000 0.500  0.05
O1 0.834 0.166 0.697  0.09
O2 0.331 0.166 0.697  0.09
O3 0.669 0.834 0.303  0.09
O4 0.166 0.834 0.303  0.09
O5 0.166 0.331 0.303  0.09
O6 0.834 0.669 0.697  0.09
Ba1 0.333 0.667 0.661  -0.03
Ba2 0.667 0.333 0.339  -0.03
Ba3 0.000 0.000 0.000  -0.02
Co1 0.333 0.667 0.222  2.31
Co2 0.667 0.333 0.778  2.31

***

Entry 3:
BaHo2CoO5: relaxed, PBE with a Hubbard U.

ΔE to the lowest computed polymorph	0.00	kJ/mol of atoms
spin magnetization	3.00	μB/f.u.
final energy	-7.366	eV/atom
space-group type	No. 62

Cell lengths 5.740, 7.106, 12.330 Å; angles 90.00, 90.00, 90.00 degrees
Each line ends with the local moment (μB).
Positions (direct):
O1 0.250 0.076 0.102  0.07
O2 0.999 0.139 0.725  0.05
O3 0.003 0.665 0.066  0.05
O4 0.750 0.576 0.398  0.07
O5 0.497 0.665 0.066  0.05
O6 0.001 0.861 0.275  0.05
O7 0.999 0.361 0.225  0.05
O8 0.750 0.924 0.898  0.07
O9 0.997 0.335 0.934  0.05
O10 0.499 0.861 0.275  0.05
O11 0.501 0.361 0.225  0.05
O12 0.997 0.165 0.434  0.05
O13 0.503 0.335 0.934  0.05
O14 0.499 0.639 0.775  0.05
O15 0.250 0.424 0.602  0.07
O16 0.001 0.639 0.775  0.05
O17 0.003 0.835 0.566  0.05
O18 0.501 0.139 0.725  0.05
O19 0.503 0.165 0.434  0.05
O20 0.497 0.835 0.566  0.05
Ho1 0.250 0.381 0.791  -0.01
Ho2 0.750 0.881 0.709  -0.01
Ho3 0.750 0.599 0.926  0.05
Ho4 0.750 0.619 0.209  -0.01
Ho5 0.250 0.119 0.291  -0.01
Ho6 0.250 0.401 0.074  0.05
Ho7 0.750 0.901 0.426  0.05
Ho8 0.250 0.099 0.574  0.05
Co1 0.750 0.193 0.848  2.63
Co2 0.250 0.807 0.152  2.63
Co3 0.250 0.693 0.652  2.63
Co4 0.750 0.307 0.348  2.63
Ba1 0.250 0.921 0.900  0.00
Ba2 0.750 0.079 0.100  0.00
Ba3 0.750 0.421 0.600  0.00
Ba4 0.250 0.579 0.400  0.00